# 1
DFT (PBE) results for PmGd2Os after structural relaxation.

Lattice parameters (Å, degrees): 4.8009 4.8009 15.5142 90.00 90.00 120.00
Positions (direct):
Pm: 0.0000 0.0000 0.0000
Pm: 0.3333 0.6667 0.6667
Pm: 0.6667 0.3333 0.3333
Gd: 0.0000 0.0000 0.2281
Gd: 0.0000 0.0000 0.7719
Gd: 0.3333 0.6667 0.4386
Gd: 0.3333 0.6667 0.8948
Gd: 0.6667 0.3333 0.1052
Gd: 0.6667 0.3333 0.5614
Os: 0.0000 0.0000 0.5000
Os: 0.3333 0.6667 0.1667
Os: 0.6667 0.3333 0.8333

Spin magnetization ... 43.0 μB per cell
Offset from the most stable computed form ... 0.89 eV per formula unit
Energy of formation from the pure elements ... 0.585 eV/f.u.
SG ... R-3m, No. 166
VASP energy ... -130.670 eV for the cell shown

=====

# 2
DFT (PBE) results for Pm2GdOs after structural relaxation.

Lattice parameters (Å, degrees): 3.4801 3.4801 9.5220 90.00 90.00 90.00
Positions (direct):
Pm: 0.0000 0.0000 0.1799
Pm: 0.0000 0.0000 0.8201
Gd: 0.5000 0.5000 0.5000
Os: 0.5000 0.5000 0.0000

Spin magnetization ... 7.8 μB per cell
Offset from the most stable computed form ... 0.00 eV per formula unit
Energy of formation from the pure elements ... 0.139 eV/f.u.
SG ... P4/mmm, No. 123
VASP energy ... -34.672 eV for the cell shown

=====

# 3
DFT (PBE) results for PmGdOs4 after structural relaxation.

Lattice parameters (Å, degrees): 5.4034 5.4034 5.4034 60.00 60.00 60.00
Positions (direct):
Pm: 0.0000 0.0000 0.0000
Gd: 0.7500 0.7500 0.7500
Os: 0.3751 0.3751 0.3751
Os: 0.3751 0.3751 0.8747
Os: 0.3751 0.8747 0.3751
Os: 0.8747 0.3751 0.3751

Spin magnetization ... 6.6 μB per cell
Energy of formation from the pure elements ... -1.025 eV/f.u.
SG ... F-43m, No. 216
VASP energy ... -64.776 eV for the cell shown